! HfVNF2 | Alexandria via LeMat-Bulk | PBE+U | optimized geometry; values from VASP
! * raw total energy: -34.5 eV per formula unit
! * symmetry: No. 123
! * calculated density: 7193 kg/m³
&SYSTEM
  ibrav = 0, nat = 5, ntyp = 4
/
ATOMIC_SPECIES
Hf 178.49 Hf.upf
F 19.00 F.upf
N 14.01 N.upf
V 50.94 V.upf
CELL_PARAMETERS angstrom
-0.138 3.670 0.998
-0.166 -1.003 3.667
4.479 0.106 0.231
ATOMIC_POSITIONS crystal
Hf 0.500 0.500 0.500
F 0.500 0.000 0.000
F 0.000 0.500 0.000
N 0.000 0.000 0.500
V 0.000 0.000 0.000